Entry 1:
## PrNd5ErTm2 (PBE)

Data for a geometry-optimized PrNd5ErTm2 structure.

abc: 5.648 10.578 10.807
angles: 90.00 90.00 105.48
Positions (direct):
Er: 0.590 0.180 0.960
Er: 0.410 0.820 0.460
Nd: 0.520 0.039 0.243
Nd: 0.391 0.782 0.025
Nd: 0.480 0.961 0.743
Nd: 0.984 0.968 0.522
Nd: 0.016 0.032 0.022
Nd: 0.704 0.408 0.203
Nd: 0.296 0.592 0.703
Nd: 0.282 0.564 0.308
Nd: 0.609 0.218 0.525
Nd: 0.718 0.436 0.808
Tm: 0.116 0.232 0.314
Tm: 0.109 0.219 0.741
Tm: 0.891 0.781 0.241
Tm: 0.884 0.768 0.814
Pr: 0.798 0.596 0.509
Pr: 0.202 0.404 0.009

Calculated values
- final energy (eV per atom) = -4.53
- calculated formation energy (eV per atom) = 0.147



Entry 2:
## Pr2NdErTm4 (PBE)

Data for a geometry-optimized Pr2NdErTm4 structure.

abc: 9.508 9.508 11.841
angles: 128.52 128.51 88.28
Positions (direct):
Nd: 0.000 0.500 0.500
Nd: 0.000 0.500 0.000
Er: 0.000 0.000 0.000
Er: 0.500 0.500 0.500
Tm: 0.744 0.256 0.500
Tm: 0.756 0.244 0.000
Tm: 0.249 0.250 0.005
Tm: 0.750 0.749 0.505
Tm: 0.250 0.251 0.495
Tm: 0.751 0.750 0.995
Tm: 0.244 0.756 0.000
Tm: 0.256 0.744 0.500
Pr: 0.000 0.000 0.500
Pr: 0.500 0.000 0.000
Pr: 0.500 0.500 0.000
Pr: 0.500 0.000 0.500

Calculated values
- final energy (eV per atom) = -4.18
- calculated formation energy (eV per atom) = 0.414



Entry 3:
## Pr6Nd3ErTm2 (PBE)

Data for a geometry-optimized Pr6Nd3ErTm2 structure.

abc: 6.346 6.346 12.001
angles: 95.05 95.05 120.02
Positions (direct):
Tm: 0.667 0.333 0.000
Tm: 0.333 0.667 0.000
Nd: 0.833 0.167 0.500
Nd: 0.167 0.833 0.500
Nd: 0.500 0.500 0.500
Pr: 0.082 0.416 0.245
Pr: 0.251 0.251 0.755
Pr: 0.918 0.584 0.755
Pr: 0.416 0.082 0.245
Pr: 0.584 0.918 0.755
Pr: 0.749 0.749 0.245
Er: 0.000 0.000 0.000

Calculated values
- final energy (eV per atom) = -4.69
- calculated formation energy (eV per atom) = 0.017



Entry 4:
## Pr6NdEr3Tm2 (PBE)

Data for a geometry-optimized Pr6NdEr3Tm2 structure.

abc: 6.295 6.295 11.868
angles: 95.06 95.06 119.99
Positions (direct):
Pr: 0.750 0.750 0.251
Pr: 0.250 0.250 0.749
Pr: 0.418 0.084 0.251
Pr: 0.916 0.582 0.749
Pr: 0.582 0.916 0.749
Pr: 0.084 0.418 0.251
Tm: 0.667 0.333 0.000
Tm: 0.333 0.667 0.000
Er: 0.167 0.833 0.500
Er: 0.500 0.500 0.500
Er: 0.833 0.167 0.500
Nd: 0.000 0.000 0.000

Calculated values
- final energy (eV per atom) = -4.66
- calculated formation energy (eV per atom) = 0.015



Entry 5:
## PrNd3Er2Tm6 (PBE)

Data for a geometry-optimized PrNd3Er2Tm6 structure.

abc: 6.170 6.170 11.718
angles: 95.02 95.02 119.98
Positions (direct):
Er: 0.667 0.333 0.000
Er: 0.333 0.667 0.000
Nd: 0.833 0.167 0.500
Nd: 0.500 0.500 0.500
Nd: 0.167 0.833 0.500
Pr: 0.000 0.000 0.000
Tm: 0.083 0.417 0.248
Tm: 0.417 0.083 0.248
Tm: 0.583 0.917 0.752
Tm: 0.251 0.251 0.752
Tm: 0.749 0.749 0.248
Tm: 0.917 0.583 0.752

Calculated values
- final energy (eV per atom) = -4.56
- calculated formation energy (eV per atom) = 0.022



Entry 6:
## PrNd2Er2Tm (PBE)

Data for a geometry-optimized PrNd2Er2Tm structure.

abc: 5.659 9.860 7.045
angles: 90.00 90.00 90.00
Positions (direct):
Nd: 0.000 0.333 0.247
Nd: 0.500 0.167 0.747
Nd: 0.500 0.833 0.253
Nd: 0.000 0.667 0.753
Pr: 0.000 0.000 0.000
Pr: 0.500 0.500 0.500
Er: 0.500 0.167 0.250
Er: 0.500 0.833 0.750
Er: 0.000 0.667 0.250
Er: 0.000 0.333 0.750
Tm: 0.000 0.000 0.500
Tm: 0.500 0.500 0.000

Calculated values
- final energy (eV per atom) = -4.59
- calculated formation energy (eV per atom) = 0.066



Entry 7:
## Pr3Nd6ErTm2 (PBE)

Data for a geometry-optimized Pr3Nd6ErTm2 structure.

abc: 6.327 6.327 12.014
angles: 95.03 95.03 120.02
Positions (direct):
Nd: 0.252 0.252 0.756
Nd: 0.082 0.415 0.244
Nd: 0.748 0.748 0.244
Nd: 0.918 0.585 0.756
Nd: 0.585 0.918 0.756
Nd: 0.415 0.082 0.244
Pr: 0.167 0.833 0.500
Pr: 0.500 0.500 0.500
Pr: 0.833 0.167 0.500
Er: 0.000 0.000 0.000
Tm: 0.333 0.667 0.000
Tm: 0.667 0.333 0.000

Calculated values
- final energy (eV per atom) = -4.69
- calculated formation energy (eV per atom) = 0.019



Entry 8:
## PrNd2Er3Tm6 (PBE)

Data for a geometry-optimized PrNd2Er3Tm6 structure.

abc: 6.146 6.146 11.687
angles: 95.03 95.03 119.95
Positions (direct):
Pr: 0.000 0.000 0.000
Nd: 0.667 0.333 0.000
Nd: 0.333 0.667 0.000
Tm: 0.086 0.420 0.255
Tm: 0.914 0.580 0.745
Tm: 0.247 0.247 0.745
Tm: 0.580 0.914 0.745
Tm: 0.420 0.086 0.255
Tm: 0.753 0.753 0.255
Er: 0.167 0.833 0.500
Er: 0.833 0.167 0.500
Er: 0.500 0.500 0.500

Calculated values
- final energy (eV per atom) = -4.54
- calculated formation energy (eV per atom) = 0.026



Entry 9:
## Pr6Nd2Er3Tm (PBE)

Data for a geometry-optimized Pr6Nd2Er3Tm structure.

abc: 6.322 6.322 11.950
angles: 95.05 95.05 120.01
Positions (direct):
Pr: 0.916 0.584 0.747
Pr: 0.416 0.084 0.253
Pr: 0.084 0.416 0.253
Pr: 0.752 0.752 0.254
Pr: 0.584 0.916 0.747
Pr: 0.248 0.248 0.746
Er: 0.166 0.834 0.500
Er: 0.834 0.166 0.500
Er: 0.500 0.500 0.500
Nd: 0.667 0.333 0.000
Nd: 0.333 0.667 0.000
Tm: 0.000 0.000 0.000

Calculated values
- final energy (eV per atom) = -4.68
- calculated formation energy (eV per atom) = 0.015



Entry 10:
## Pr2Nd6ErTm (PBE)

Data for a geometry-optimized Pr2Nd6ErTm structure.

abc: 9.870 8.983 8.983
angles: 118.07 94.45 94.45
Positions (direct):
Pr: 0.458 0.805 0.704
Pr: 0.542 0.195 0.296
Pr: 0.042 0.296 0.195
Pr: 0.958 0.704 0.805
Nd: 0.809 0.425 0.985
Nd: 0.555 0.753 0.123
Nd: 0.119 0.708 0.499
Nd: 0.945 0.877 0.247
Nd: 0.055 0.123 0.753
Nd: 0.691 0.015 0.575
Nd: 0.191 0.575 0.015
Nd: 0.381 0.501 0.292
Nd: 0.881 0.292 0.501
Nd: 0.619 0.499 0.708
Nd: 0.445 0.247 0.877
Nd: 0.309 0.985 0.425
Tm: 0.750 0.592 0.408
Tm: 0.250 0.408 0.592
Er: 0.250 0.981 0.019
Er: 0.750 0.019 0.981

Calculated values
- final energy (eV per atom) = -4.61
- calculated formation energy (eV per atom) = 0.114